11
Lattice="-3.800 -2.327 2.295 4.305 0.778 2.445 -2.375 6.091 2.244" Properties=species:S:1:pos:R:3 comment="PBE+U Be2Cd2MoO6, optimized geometry" m_tot_mub_per_cell=0.00 total_energy_ev_per_atom=-5.77 pbc="T T T"
Be -0.386 4.844 4.274
Be -1.484 -0.302 2.710
Cd 0.744 1.948 3.207
Cd -2.613 2.594 3.777
Mo 0.000 0.000 0.000
O -1.626 4.680 3.365
O 0.890 5.528 3.727
O -0.406 4.289 5.718
O -0.243 -0.138 3.619
O -2.759 -0.986 3.257
O -1.463 0.253 1.266